The following is a PBE-GGA calculation of a relaxed MgPtAu crystal, from Alexandria via LeMat-Bulk.

```
data_MgPtAu
_cell_length_a 4.4770
_cell_length_b 4.4770
_cell_length_c 2.9176
_cell_angle_alpha 90.00
_cell_angle_beta 90.00
_cell_angle_gamma 120.00
_space_group_name_H-M_alt 'P 3 m 1'
_space_group_IT_number 156
_space_group_name_Hall 'P 3 -2"'
loop_
_atom_site_label
_atom_site_fract_x
_atom_site_fract_y
_atom_site_fract_z
Mg1 0.0000 0.0000 0.0000
Pt1 0.6667 0.3333 0.2937
Au1 0.3333 0.6667 0.7034
```

Results
E_tot: -12.3 eV/cell
E above lowest polymorph: 109 meV/atom
Density of states at the Fermi level: 1.05 states/eV/f.u.

---

The following is a PBE-GGA calculation of a relaxed Cs2NbH4 crystal, from Alexandria via LeMat-Bulk.

```
data_Cs2NbH4
_cell_length_a 4.1969
_cell_length_b 4.1969
_cell_length_c 15.4601
_cell_angle_alpha 90.00
_cell_angle_beta 90.00
_cell_angle_gamma 90.00
_space_group_name_H-M_alt 'I 4/m m m'
_space_group_IT_number 139
_space_group_name_Hall '-I 4 2'
loop_
_atom_site_label
_atom_site_fract_x
_atom_site_fract_y
_atom_site_fract_z
Cs1 0.0000 0.0000 0.1520
Nb1 0.0000 0.0000 0.5000
H1 0.0000 0.0000 0.3718
H2 0.0000 0.5000 0.0000
```

Results
E_tot: -49.8 eV/cell
Density of states at the Fermi level: 0.01 states/eV/f.u.

---

The following is a PBE-GGA calculation of a relaxed Fe2HgRh crystal, from Alexandria via LeMat-Bulk.

```
data_Fe2HgRh
_cell_length_a 9.1748
_cell_length_b 2.9029
_cell_length_c 4.6612
_cell_angle_alpha 90.00
_cell_angle_beta 106.42
_cell_angle_gamma 90.00
_space_group_name_H-M_alt 'C 1 m 1'
_space_group_IT_number 8
_space_group_name_Hall 'C -2y'
loop_
_atom_site_label
_atom_site_fract_x
_atom_site_fract_y
_atom_site_fract_z
Fe1 0.0000 0.0000 0.0000
Fe2 0.2244 0.5000 0.2387
Hg1 0.2384 0.0000 0.7478
Rh1 0.4700 0.0000 0.4546
```

Results
E_tot: -47.3 eV/cell
Density of states at the Fermi level: 3.36 states/eV/f.u.

---

The following is a PBE-GGA calculation of a relaxed HfRe3Bi crystal, from Alexandria via LeMat-Bulk.

```
data_HfRe3Bi
_cell_length_a 4.8796
_cell_length_b 4.8796
_cell_length_c 4.8796
_cell_angle_alpha 90.00
_cell_angle_beta 90.00
_cell_angle_gamma 90.00
_space_group_name_H-M_alt 'P m -3 m'
_space_group_IT_number 221
_space_group_name_Hall '-P 4 2 3'
loop_
_atom_site_label
_atom_site_fract_x
_atom_site_fract_y
_atom_site_fract_z
Hf1 0.0000 0.0000 0.0000
Re1 0.0000 0.0000 0.5000
Bi1 0.5000 0.5000 0.5000
```

Results
E_tot: -39.8 eV/cell
E above lowest polymorph: 0 meV/atom
Density of states at the Fermi level: 5.49 states/eV/f.u.

---

The following is a PBE-GGA calculation of a relaxed Hg2PtI8 crystal, from Alexandria via LeMat-Bulk.

```
data_Hg2PtI8
_cell_length_a 15.1942
_cell_length_b 8.8067
_cell_length_c 7.3250
_cell_angle_alpha 90.00
_cell_angle_beta 93.83
_cell_angle_gamma 90.00
_space_group_name_H-M_alt 'C 1 2/m 1'
_space_group_IT_number 12
_space_group_name_Hall '-C 2y'
loop_
_atom_site_label
_atom_site_fract_x
_atom_site_fract_y
_atom_site_fract_z
Hg1 0.1665 0.0000 0.4595
Pt1 0.0000 0.0000 0.0000
I1 0.0635 0.2202 0.2360
I2 0.1526 0.5000 0.5698
I3 0.1585 0.0000 0.8513
```

Results
E_tot: -42.4 eV/cell
E above lowest polymorph: 0 meV/atom
Uncorrected formation energy: -0.20 eV/atom

---

The following is a PBE-GGA calculation of a relaxed PmHfSc3 crystal, from Alexandria via LeMat-Bulk.

```
data_PmHfSc3
_cell_length_a 5.1895
_cell_length_b 3.2449
_cell_length_c 14.9920
_cell_angle_alpha 90.00
_cell_angle_beta 90.00
_cell_angle_gamma 90.00
_space_group_name_H-M_alt 'P m m a'
_space_group_IT_number 51
_space_group_name_Hall '-P 2a 2a'
loop_
_atom_site_label
_atom_site_fract_x
_atom_site_fract_y
_atom_site_fract_z
Pm1 0.2500 0.0000 0.1464
Hf1 0.2500 0.5000 0.3613
Sc1 0.2500 0.0000 0.5470
Sc2 0.2500 0.0000 0.7372
Sc3 0.2500 0.5000 0.9388
```

Results
E_tot: -66.4 eV/cell
E above lowest polymorph: 10 meV/atom
Density of states at the Fermi level: 7.12 states/eV/f.u.

---

The following is a PBE-GGA calculation of a relaxed GdTeSe2 crystal, from Alexandria via LeMat-Bulk.

```
data_GdTeSe2
_cell_length_a 4.3284
_cell_length_b 4.3284
_cell_length_c 25.7789
_cell_angle_alpha 90.00
_cell_angle_beta 90.00
_cell_angle_gamma 120.00
_space_group_name_H-M_alt 'R -3 m'
_space_group_IT_number 166
_space_group_name_Hall '-R 3 2"'
loop_
_atom_site_label
_atom_site_fract_x
_atom_site_fract_y
_atom_site_fract_z
Gd1 0.0000 0.0000 0.0000
Te1 0.0000 0.0000 0.5000
Se1 0.0000 0.0000 0.1095
```

Results
E_tot: -72.9 eV/cell
Density of states at the Fermi level: 7.31 states/eV/f.u.
Uncorrected formation energy: -0.03 eV/atom

---

The following is a PBE-GGA calculation of a relaxed Cu2TeCl crystal, from Alexandria via LeMat-Bulk.

```
data_Cu2TeCl
_cell_length_a 3.3093
_cell_length_b 3.3093
_cell_length_c 6.9274
_cell_angle_alpha 90.00
_cell_angle_beta 90.00
_cell_angle_gamma 90.00
_space_group_name_H-M_alt 'P 4/m m m'
_space_group_IT_number 123
_space_group_name_Hall '-P 4 2'
loop_
_atom_site_label
_atom_site_fract_x
_atom_site_fract_y
_atom_site_fract_z
Cu1 0.0000 0.0000 0.2366
Te1 0.5000 0.5000 0.0000
Cl1 0.5000 0.5000 0.5000
```

Results
E_tot: -12.3 eV/cell
E above lowest polymorph: 438 meV/atom
Density of states at the Fermi level: 1.84 states/eV/f.u.
Uncorrected formation energy: 0.21 eV/atom

---

The following is a PBE-GGA calculation of a relaxed Ca5TbZn6 crystal, from Alexandria via LeMat-Bulk.

```
data_Ca5TbZn6
_cell_length_a 5.1713
_cell_length_b 15.4602
_cell_length_c 7.3446
_cell_angle_alpha 90.00
_cell_angle_beta 90.00
_cell_angle_gamma 90.00
_space_group_name_H-M_alt 'C m m m'
_space_group_IT_number 65
_space_group_name_Hall '-C 2 2'
loop_
_atom_site_label
_atom_site_fract_x
_atom_site_fract_y
_atom_site_fract_z
Ca1 0.0000 0.0000 0.0000
Ca2 0.0000 0.3321 0.5000
Ca3 0.0000 0.3331 0.0000
Tb1 0.0000 0.0000 0.5000
Zn1 0.0000 0.1628 0.2560
Zn2 0.0000 0.5000 0.2633
```

Results
E_tot: -50.8 eV/cell
Density of states at the Fermi level: 7.37 states/eV/f.u.

---

The following is a PBE-GGA calculation of a relaxed CeSc2P crystal, from Alexandria via LeMat-Bulk.

```
data_CeSc2P
_cell_length_a 3.5845
_cell_length_b 3.5845
_cell_length_c 26.2766
_cell_angle_alpha 90.00
_cell_angle_beta 90.00
_cell_angle_gamma 120.00
_space_group_name_H-M_alt 'R 3 m'
_space_group_IT_number 160
_space_group_name_Hall 'R 3 -2"'
loop_
_atom_site_label
_atom_site_fract_x
_atom_site_fract_y
_atom_site_fract_z
Ce1 0.0000 0.0000 0.0000
Sc1 0.0000 0.0000 0.5556
Sc2 0.0000 0.0000 0.7736
P1 0.0000 0.0000 0.1641
```

Results
E_tot: -79.4 eV/cell
E above lowest polymorph: 0 meV/atom
Density of states at the Fermi level: 6.74 states/eV/f.u.

---

The following is a PBE-GGA calculation of a relaxed TiCrBMo2 crystal, from Alexandria via LeMat-Bulk.

```
data_TiCrBMo2
_cell_length_a 4.5264
_cell_length_b 4.5264
_cell_length_c 4.1116
_cell_angle_alpha 90.00
_cell_angle_beta 90.00
_cell_angle_gamma 90.00
_space_group_name_H-M_alt 'P 4/m m m'
_space_group_IT_number 123
_space_group_name_Hall '-P 4 2'
loop_
_atom_site_label
_atom_site_fract_x
_atom_site_fract_y
_atom_site_fract_z
Ti1 0.0000 0.0000 0.0000
Cr1 0.0000 0.0000 0.5000
B1 0.5000 0.5000 0.5000
Mo1 0.0000 0.5000 0.0000
```

Results
E_tot: -34.7 eV/cell
Density of states at the Fermi level: 5.78 states/eV/f.u.

---

The following is a PBE-GGA calculation of a relaxed Sn2HO crystal, from Alexandria via LeMat-Bulk.

```
data_Sn2HO
_cell_length_a 6.3213
_cell_length_b 6.3213
_cell_length_c 6.3213
_cell_angle_alpha 90.00
_cell_angle_beta 90.00
_cell_angle_gamma 90.00
_space_group_name_H-M_alt 'F m -3 m'
_space_group_IT_number 225
_space_group_name_Hall '-F 4 2 3'
loop_
_atom_site_label
_atom_site_fract_x
_atom_site_fract_y
_atom_site_fract_z
Sn1 0.2500 0.2500 0.2500
H1 0.0000 0.0000 0.0000
O1 0.0000 0.0000 0.5000
```

Results
E_tot: -63.2 eV/cell
E above lowest polymorph: 281 meV/atom
Density of states at the Fermi level: 2.13 states/eV/f.u.

---

| no. | total magnetization (Bohr magnetons per cell) |
| --- | --- |
| 1 | 0.00 |
| 2 | 6.01 |
| 3 | 12.49 |
| 4 | 2.41 |
| 5 | 0.00 |
| 6 | 0.00 |
| 7 | 21.64 |
| 8 | 0.00 |
| 9 | 0.00 |
| 10 | 4.67 |
| 11 | 0.05 |
| 12 | 0.00 |